# Ac5PmNd2Y PBE optimized geometry
# Crystal system   orthorhombic
# SG   Cmcm
# ΔE_f   12.8 kJ per mole of atoms
data_Ac5PmNd2Y
_chemical_formula_sum 'Ac10 Pm2 Nd4 Y2'
_cell_length_a 11.7042
_cell_length_b 11.7042
_cell_length_c 11.1275
_cell_angle_alpha 90.00
_cell_angle_beta 90.00
_cell_angle_gamma 150.98
_space_group_name_H-M_alt 'P 1'
_space_group_IT_number 1
loop_
_space_group_symop_operation_xyz
'x,y,z'
loop_
_atom_site_label
_atom_site_fract_x
_atom_site_fract_y
_atom_site_fract_z
Ac1 0.0000 0.0000 0.0000
Ac2 0.0000 0.0000 0.5000
Ac3 0.1302 0.8698 0.7500
Ac4 0.2186 0.7814 0.0639
Ac5 0.2186 0.7814 0.4361
Ac6 0.4972 0.5028 0.7500
Ac7 0.5028 0.4972 0.2500
Ac8 0.7814 0.2186 0.5639
Ac9 0.7814 0.2186 0.9361
Ac10 0.8698 0.1302 0.2500
Pm1 0.3037 0.6963 0.7500
Pm2 0.6963 0.3037 0.2500
Nd1 0.3867 0.6133 0.0080
Nd2 0.3867 0.6133 0.4920
Nd3 0.6133 0.3867 0.5080
Nd4 0.6133 0.3867 0.9920
Y1 0.0986 0.9014 0.2500
Y2 0.9014 0.0986 0.7500

***

# TaNiAg2Pb PBE optimized geometry
# Crystal system   tetragonal
# SG   P4/mmm
# ΔE_f   111.7 kJ per mole of atoms
data_TaNiAg2Pb
_chemical_formula_sum 'Ta1 Ni1 Ag2 Pb1'
_cell_length_a 5.2479
_cell_length_b 5.2479
_cell_length_c 4.5759
_cell_angle_alpha 90.00
_cell_angle_beta 90.00
_cell_angle_gamma 90.00
_space_group_name_H-M_alt 'P 1'
_space_group_IT_number 1
loop_
_space_group_symop_operation_xyz
'x,y,z'
loop_
_atom_site_label
_atom_site_fract_x
_atom_site_fract_y
_atom_site_fract_z
Ta1 0.0000 0.0000 0.0000
Ni1 0.0000 0.0000 0.5000
Ag1 0.0000 0.5000 0.0000
Ag2 0.5000 0.0000 0.0000
Pb1 0.5000 0.5000 0.5000

***

# SbH2PdO PBE optimized geometry
# Crystal system   tetragonal
# Electronic total energy   -18.83 eV for the cell shown
# SG   P4/mmm
data_SbH2PdO
_chemical_formula_sum 'Sb1 H2 Pd1 O1'
_cell_length_a 3.5608
_cell_length_b 3.5608
_cell_length_c 5.2773
_cell_angle_alpha 90.00
_cell_angle_beta 90.00
_cell_angle_gamma 90.00
_space_group_name_H-M_alt 'P 1'
_space_group_IT_number 1
loop_
_space_group_symop_operation_xyz
'x,y,z'
loop_
_atom_site_label
_atom_site_fract_x
_atom_site_fract_y
_atom_site_fract_z
Sb1 0.0000 0.0000 0.0000
H1 0.0000 0.5000 0.0000
H2 0.5000 0.0000 0.0000
Pd1 0.0000 0.0000 0.5000
O1 0.5000 0.5000 0.5000

***

# CaScSi2F PBE optimized geometry
# Crystal system   tetragonal
# SG   P4/mmm
# E_form (uncorrected)   -0.84 eV per atom
data_CaScSi2F
_chemical_formula_sum 'Ca1 Sc1 Si2 F1'
_cell_length_a 5.4157
_cell_length_b 5.4157
_cell_length_c 3.9167
_cell_angle_alpha 90.00
_cell_angle_beta 90.00
_cell_angle_gamma 90.00
_space_group_name_H-M_alt 'P 1'
_space_group_IT_number 1
loop_
_space_group_symop_operation_xyz
'x,y,z'
loop_
_atom_site_label
_atom_site_fract_x
_atom_site_fract_y
_atom_site_fract_z
Ca1 0.0000 0.0000 0.0000
Sc1 0.5000 0.5000 0.5000
Si1 0.0000 0.5000 0.5000
Si2 0.5000 0.0000 0.5000
F1 0.5000 0.5000 0.0000

***

# Tb4PrSm2Ho PBE optimized geometry
# Crystal system   monoclinic
# SG   C2/c
# ΔE_f   39.8 kJ per mole of atoms
data_Tb4PrSm2Ho
_chemical_formula_sum 'Tb8 Pr2 Sm4 Ho2'
_cell_length_a 9.5467
_cell_length_b 9.5467
_cell_length_c 6.8479
_cell_angle_alpha 111.02
_cell_angle_beta 111.02
_cell_angle_gamma 88.38
_space_group_name_H-M_alt 'P 1'
_space_group_IT_number 1
loop_
_space_group_symop_operation_xyz
'x,y,z'
loop_
_atom_site_label
_atom_site_fract_x
_atom_site_fract_y
_atom_site_fract_z
Tb1 0.2465 0.7530 0.9990
Tb2 0.2468 0.2478 0.4955
Tb3 0.2470 0.7535 0.5010
Tb4 0.2478 0.2468 0.9955
Tb5 0.7522 0.7532 0.0045
Tb6 0.7530 0.2465 0.4990
Tb7 0.7532 0.7522 0.5045
Tb8 0.7535 0.2470 0.0010
Pr1 0.0000 0.5000 0.0000
Pr2 0.5000 0.0000 0.5000
Sm1 0.0000 0.5000 0.5000
Sm2 0.5000 0.0000 0.0000
Sm3 0.5000 0.5000 0.0000
Sm4 0.5000 0.5000 0.5000
Ho1 0.0000 0.0000 0.0000
Ho2 0.0000 0.0000 0.5000

***

# Dy3Pd2 PBE optimized geometry
# Crystal system   tetragonal
# SG   P4/mbm
# ΔE_f   -70.6 kJ per mole of atoms
data_Dy3Pd2
_chemical_formula_sum 'Dy6 Pd4'
_cell_length_a 7.8049
_cell_length_b 7.8049
_cell_length_c 3.9396
_cell_angle_alpha 90.00
_cell_angle_beta 90.00
_cell_angle_gamma 90.00
_space_group_name_H-M_alt 'P 1'
_space_group_IT_number 1
loop_
_space_group_symop_operation_xyz
'x,y,z'
loop_
_atom_site_label
_atom_site_fract_x
_atom_site_fract_y
_atom_site_fract_z
Dy1 0.0000 0.0000 0.0000
Dy2 0.1653 0.3347 0.5000
Dy3 0.3347 0.8347 0.5000
Dy4 0.5000 0.5000 0.0000
Dy5 0.6653 0.1653 0.5000
Dy6 0.8347 0.6653 0.5000
Pd1 0.1323 0.6323 0.0000
Pd2 0.3677 0.1323 0.0000
Pd3 0.6323 0.8677 0.0000
Pd4 0.8677 0.3677 0.0000

***

# Cd4As2Cl3 PBE optimized geometry
# Crystal system   monoclinic
# SG   C2/c
# E_form (uncorrected)   -0.48 eV per atom
data_Cd4As2Cl3
_chemical_formula_sum 'Cd8 As4 Cl6'
_cell_length_a 9.7843
_cell_length_b 9.7843
_cell_length_c 8.5753
_cell_angle_alpha 106.66
_cell_angle_beta 106.66
_cell_angle_gamma 45.41
_space_group_name_H-M_alt 'P 1'
_space_group_IT_number 1
loop_
_space_group_symop_operation_xyz
'x,y,z'
loop_
_atom_site_label
_atom_site_fract_x
_atom_site_fract_y
_atom_site_fract_z
Cd1 0.1439 0.4222 0.2233
Cd2 0.1642 0.7255 0.9512
Cd3 0.2745 0.8358 0.5488
Cd4 0.4222 0.1439 0.7233
Cd5 0.5778 0.8561 0.2767
Cd6 0.7255 0.1642 0.4512
Cd7 0.8358 0.2745 0.0488
Cd8 0.8561 0.5778 0.7767
As1 0.1974 0.4349 0.9333
As2 0.4349 0.1974 0.4333
As3 0.5651 0.8026 0.5667
As4 0.8026 0.5651 0.0667
Cl1 0.0412 0.8040 0.3533
Cl2 0.1960 0.9588 0.1467
Cl3 0.3900 0.6100 0.7500
Cl4 0.6100 0.3900 0.2500
Cl5 0.8040 0.0412 0.8533
Cl6 0.9588 0.1960 0.6467